# PBE-GGA TiFeW3, optimized geometry
data_TiFeW3
_cell_length_a 4.4673
_cell_length_b 4.4673
_cell_length_c 4.4673
_cell_angle_alpha 90.00
_cell_angle_beta 90.00
_cell_angle_gamma 90.00
_space_group_name_H-M_alt 'P 1'
_space_group_IT_number 1
loop_
_space_group_symop_operation_xyz
'x,y,z'
loop_
_atom_site_label
_atom_site_fract_x
_atom_site_fract_y
_atom_site_fract_z
Ti1 0.5000 0.5000 0.5000
W1 0.5000 0.0000 0.0000
Fe1 0.0000 0.0000 0.0000
W2 0.0000 0.5000 0.0000
W3 0.0000 0.0000 0.5000
# E_form = 561 kJ/mol of formula units
# polymorph energy (0 for the lowest one) = 0.0000 eV per atom
# symmetry = No. 221